The following is a DFT calculation (PBE-GGA) of an optimized crystal structure of Ac7PrTm2.

Structure (CIF):
```
data_Ac7PrTm2
_symmetry_space_group_name_H-M 'C m m m'
_symmetry_Int_Tables_number 65
_symmetry_space_group_name_Hall '-C 2 2'
_cell_length_a 10.156
_cell_length_b 16.387
_cell_length_c 6.152
_cell_angle_alpha 90.00
_cell_angle_beta 90.00
_cell_angle_gamma 90.00
loop_
_atom_site_label
_atom_site_fract_x
_atom_site_fract_y
_atom_site_fract_z
_atom_site_occupancy
Ac1 0.000 0.000 0.000 1
Ac2 0.000 0.256 0.500 1
Ac3 0.185 0.374 0.000 1
Pr1 0.000 0.500 0.500 1
Tm1 0.000 0.201 0.000 1
```

Values from the calculation:
* calculated formation energy: 59.5 kJ per mole of atoms
* DOS(E_F): 28.2 states/eV per cell